Entry 1:
## CsNb2Si8O24 (PBE)

Data for CsNb2Si8O24 after structural relaxation.

Geometry as POSCAR:
```
CsNb2Si8O24
1.0
-0.759 -4.039 6.371
-3.232 -6.888 -5.060
9.043 -1.554 -3.664
Si O Nb Cs
8 24 2 1
direct
0.419 0.258 0.418
0.261 0.502 0.194
0.581 0.742 0.582
0.432 0.248 0.738
0.715 0.996 0.815
0.568 0.752 0.262
0.285 0.004 0.185
0.739 0.498 0.806
0.300 0.399 0.337
0.445 0.603 0.206
0.362 0.704 0.556
0.017 0.723 0.926
0.226 0.403 0.049
0.455 0.896 0.191
0.101 0.905 0.185
0.244 0.256 0.785
0.774 0.597 0.951
0.653 0.893 0.673
0.914 0.398 0.808
0.638 0.296 0.444
0.983 0.277 0.074
0.086 0.602 0.192
0.700 0.601 0.663
0.545 0.104 0.809
0.764 0.901 0.961
0.899 0.095 0.815
0.555 0.397 0.794
0.362 0.240 0.564
0.347 0.107 0.327
0.638 0.760 0.436
0.756 0.744 0.215
0.236 0.099 0.039
0.086 0.243 0.904
0.914 0.757 0.096
0.000 0.500 0.500
```

Results
Fermi-level density of states = 8.86 states/eV/f.u.


Entry 2:
## Cs2SrNbO4 (PBE)

Data for Cs2SrNbO4 after structural relaxation.

Geometry as POSCAR:
```
Cs2SrNbO4
1.0
6.372 -0.123 -0.189
-2.826 5.712 0.189
-2.826 -2.126 5.305
O Cs Nb Sr
4 2 1 1
direct
0.366 0.823 0.728
0.095 0.272 0.637
0.905 0.542 0.177
0.634 0.363 0.458
0.500 0.750 0.250
0.000 0.000 0.000
0.000 0.500 0.500
0.500 0.250 0.750
```

Results
Fermi-level density of states = 1.35 states/eV/f.u.


Entry 3:
## CsSrNb2O7 (PBE)

Data for CsSrNb2O7 after structural relaxation.

Geometry as POSCAR:
```
CsSrNb2O7
1.0
3.996 0.000 0.000
0.000 3.996 0.000
-1.998 -1.998 12.333
Cs Nb O Sr
1 2 7 1
direct
0.250 0.750 0.500
0.908 0.908 0.815
0.092 0.092 0.185
0.834 0.834 0.669
0.077 0.577 0.153
0.423 0.923 0.847
0.924 0.424 0.847
0.166 0.166 0.331
0.576 0.076 0.153
0.000 0.000 0.000
0.500 0.500 0.000
```

Results
Fermi-level density of states = 5.44 states/eV/f.u.


Entry 4:
## CsSr2Nb3O10 (PBE)

Data for CsSr2Nb3O10 after structural relaxation.

Geometry as POSCAR:
```
CsSr2Nb3O10
1.0
3.998 0.000 0.000
0.000 3.998 0.000
0.000 0.000 15.678
Nb O Cs Sr
3 10 1 2
direct
0.000 0.000 0.281
0.000 0.000 0.719
0.000 0.000 0.000
0.000 0.500 0.255
0.000 0.500 0.745
0.000 0.500 0.000
0.000 0.000 0.874
0.000 0.000 0.126
0.000 0.000 0.604
0.000 0.000 0.396
0.500 0.000 0.255
0.500 0.000 0.745
0.500 0.000 0.000
0.500 0.500 0.500
0.500 0.500 0.856
0.500 0.500 0.144
```


Entry 5:
## CsTa2NbO8 (PBE)

Data for CsTa2NbO8 after structural relaxation.

Geometry as POSCAR:
```
CsTa2NbO8
1.0
-5.151 -2.669 -1.259
5.081 -2.186 -2.156
0.829 -4.828 6.848
Nb O Cs Ta
1 8 1 2
direct
0.000 0.000 0.500
0.333 0.667 0.920
0.838 0.153 0.361
0.847 0.684 0.361
0.667 0.333 0.080
0.316 0.162 0.361
0.162 0.847 0.639
0.153 0.316 0.639
0.684 0.838 0.639
0.000 0.000 0.000
0.667 0.333 0.292
0.333 0.667 0.708
```

Results
Fermi-level density of states = 0.00 states/eV/f.u.


Entry 6:
## CsTaNbO6 (PBE)

Data for CsTaNbO6 after structural relaxation.

Geometry as POSCAR:
```
CsTaNbO6
1.0
-3.558 -3.706 2.249
-3.047 -3.455 -3.198
4.727 -4.385 0.180
O Ta Nb Cs
6 1 1 1
direct
0.406 0.596 0.353
0.998 0.572 0.685
0.999 0.429 0.316
0.429 0.999 0.684
0.596 0.406 0.647
0.572 0.998 0.315
0.679 0.679 0.500
0.321 0.321 0.500
0.000 0.000 0.000
```


Entry 7:
## Cs2NbTc3O12 (PBE)

Data for Cs2NbTc3O12 after structural relaxation.

Geometry as POSCAR:
```
Cs2NbTc3O12
1.0
7.421 0.091 0.065
3.744 6.408 0.065
3.744 2.180 6.026
O Cs Nb Tc
12 2 1 3
direct
0.678 0.065 0.065
0.065 0.065 0.678
0.693 0.065 0.693
0.065 0.693 0.693
0.935 0.935 0.322
0.935 0.322 0.935
0.307 0.307 0.935
0.322 0.935 0.935
0.307 0.935 0.307
0.065 0.678 0.065
0.935 0.307 0.307
0.693 0.693 0.065
0.623 0.623 0.623
0.377 0.377 0.377
0.000 0.000 0.000
0.000 0.500 0.000
0.000 0.000 0.500
0.500 0.000 0.000
```

Results
Fermi-level density of states = 6.71 states/eV/f.u.


Entry 8:
## CsNbTcO6 (PBE)

Data for CsNbTcO6 after structural relaxation.

Geometry as POSCAR:
```
CsNbTcO6
1.0
-1.700 -3.029 4.152
3.594 -2.166 3.421
-0.353 5.361 3.767
O Tc Cs Nb
6 1 1 1
direct
0.547 0.004 0.320
0.574 0.410 0.673
0.016 0.574 0.673
0.449 0.547 0.320
0.003 0.449 0.320
0.410 0.016 0.673
0.333 0.333 0.476
0.000 0.000 0.012
0.667 0.667 0.533
```

Results
Fermi-level density of states = 3.21 states/eV/f.u.


Entry 9:
## CsTh2NbO8 (PBE)

Data for CsTh2NbO8 after structural relaxation.

Geometry as POSCAR:
```
CsTh2NbO8
1.0
4.887 -0.051 0.156
-0.014 4.893 0.159
0.290 0.281 8.347
Th Cs O Nb
2 1 8 1
direct
0.459 0.460 0.788
0.541 0.540 0.212
0.000 0.000 0.500
0.863 0.252 0.820
0.749 0.138 0.180
0.251 0.862 0.820
0.290 0.289 0.030
0.137 0.748 0.180
0.608 0.608 0.501
0.392 0.392 0.499
0.710 0.711 0.970
0.000 0.000 0.000
```

Results
Fermi-level density of states = 0.00 states/eV/f.u.


Entry 10:
## Cs2ThNbO6 (PBE)

Data for Cs2ThNbO6 after structural relaxation.

Geometry as POSCAR:
```
Cs2ThNbO6
1.0
-5.415 0.144 3.630
-3.388 -5.477 1.019
2.772 -3.710 10.139
O Cs Nb Th
12 4 2 2
direct
0.814 0.814 0.108
0.186 0.186 0.892
0.406 0.814 0.374
0.186 0.735 0.892
0.186 0.594 0.626
0.406 0.406 0.374
0.594 0.186 0.626
0.265 0.814 0.108
0.814 0.265 0.108
0.594 0.594 0.626
0.735 0.186 0.892
0.814 0.406 0.374
0.723 0.723 0.832
0.277 0.277 0.168
0.133 0.133 0.601
0.867 0.867 0.399
0.500 0.500 0.500
0.000 0.000 0.000
0.401 0.401 0.798
0.599 0.599 0.202
```

Results
Fermi-level density of states = 7.39 states/eV/f.u.


Entry 11:
## CsTiNb2O8 (PBE)

Data for CsTiNb2O8 after structural relaxation.

Geometry as POSCAR:
```
CsTiNb2O8
1.0
-0.238 4.368 3.928
-4.634 -1.113 -3.442
-2.951 -5.264 5.675
O Cs Nb Ti
8 1 2 1
direct
0.312 0.157 0.362
0.333 0.667 0.925
0.667 0.333 0.075
0.843 0.155 0.362
0.155 0.312 0.638
0.157 0.845 0.638
0.845 0.688 0.362
0.688 0.843 0.638
0.000 0.000 0.000
0.667 0.333 0.293
0.333 0.667 0.707
0.000 0.000 0.500
```

Results
Fermi-level density of states = 8.64 states/eV/f.u.


Entry 12:
## CsTi2NbO8 (PBE)

Data for CsTi2NbO8 after structural relaxation.

Geometry as POSCAR:
```
CsTi2NbO8
1.0
5.851 0.000 0.000
-2.926 5.067 0.000
0.000 0.000 8.347
O Ti Cs Nb
8 2 1 1
direct
0.680 0.837 0.640
0.837 0.157 0.360
0.667 0.333 0.081
0.843 0.680 0.360
0.333 0.667 0.919
0.157 0.320 0.640
0.320 0.163 0.360
0.163 0.843 0.640
0.333 0.667 0.707
0.667 0.333 0.293
0.000 0.000 0.000
0.000 0.000 0.500
```

Results
Fermi-level density of states = 7.55 states/eV/f.u.


Entry 13:
## Cs2TiNbO6 (PBE)

Data for Cs2TiNbO6 after structural relaxation.

Geometry as POSCAR:
```
Cs2TiNbO6
1.0
-5.849 1.711 0.774
-4.333 -4.238 1.000
-1.910 -0.100 10.170
O Cs Nb Ti
12 4 2 2
direct
0.184 0.590 0.637
0.203 0.708 0.886
0.203 0.203 0.886
0.292 0.797 0.114
0.816 0.410 0.363
0.797 0.292 0.114
0.708 0.203 0.886
0.590 0.590 0.637
0.797 0.797 0.114
0.410 0.816 0.363
0.410 0.410 0.363
0.590 0.184 0.637
0.719 0.719 0.842
0.868 0.868 0.395
0.281 0.281 0.158
0.132 0.132 0.605
0.599 0.599 0.202
0.401 0.401 0.798
0.500 0.500 0.500
0.000 0.000 0.000
```

Results
Fermi-level density of states = 4.76 states/eV/f.u.


Entry 14:
## Cs2Nb2TlO7 (PBE)

Data for Cs2Nb2TlO7 after structural relaxation.

Geometry as POSCAR:
```
Cs2Nb2TlO7
1.0
-0.006 -0.015 -4.086
2.997 -2.778 -0.004
-6.973 -10.420 -1.924
O Nb Cs Tl
7 2 2 1
direct
0.660 0.660 0.672
0.340 0.340 0.328
0.426 0.922 0.165
0.922 0.426 0.165
0.500 0.500 0.000
0.574 0.078 0.835
0.078 0.574 0.835
0.395 0.395 0.177
0.605 0.605 0.823
0.191 0.191 0.624
0.809 0.809 0.376
0.000 0.000 0.000
```

Results
Fermi-level density of states = 2.42 states/eV/f.u.


Entry 15:
## CsNb2TlO6 (PBE)

Data for CsNb2TlO6 after structural relaxation.

Geometry as POSCAR:
```
CsNb2TlO6
1.0
-4.960 -2.844 3.201
0.430 -7.947 -3.404
4.253 -2.995 6.919
O Tl Cs Nb
12 2 2 4
direct
0.711 0.750 0.984
0.789 0.016 0.250
0.470 0.322 0.304
0.970 0.304 0.322
0.336 0.849 0.432
0.836 0.432 0.849
0.211 0.984 0.750
0.164 0.568 0.151
0.664 0.151 0.568
0.530 0.678 0.696
0.289 0.250 0.016
0.030 0.696 0.678
0.250 0.284 0.716
0.750 0.716 0.284
0.750 0.107 0.893
0.250 0.893 0.107
0.277 0.802 0.637
0.777 0.637 0.802
0.223 0.363 0.198
0.723 0.198 0.363
```

Results
Fermi-level density of states = 0.00 states/eV/f.u.


Entry 16:
## Cs2NbTlO4 (PBE)

Data for Cs2NbTlO4 after structural relaxation.

Geometry as POSCAR:
```
Cs2NbTlO4
1.0
6.444 0.078 0.119
-2.676 5.863 -0.119
-2.676 -2.469 5.319
Nb O Tl Cs
1 4 1 2
direct
0.000 0.500 0.500
0.030 0.228 0.538
0.970 0.508 0.198
0.690 0.462 0.492
0.310 0.802 0.772
0.500 0.250 0.750
0.500 0.750 0.250
0.000 0.000 0.000
```

Results
Fermi-level density of states = 0.00 states/eV/f.u.


Entry 17:
## Cs3TmNb2O8 (PBE)

Data for Cs3TmNb2O8 after structural relaxation.

Geometry as POSCAR:
```
Cs3TmNb2O8
1.0
-4.690 -2.650 -3.327
1.078 -1.832 5.964
-5.360 5.970 2.802
Cs O Nb Tm
3 8 2 1
direct
0.333 0.667 0.724
0.000 0.000 0.000
0.667 0.333 0.276
0.663 0.831 0.348
0.169 0.337 0.348
0.333 0.667 0.063
0.667 0.333 0.937
0.337 0.169 0.652
0.831 0.169 0.652
0.169 0.831 0.348
0.831 0.663 0.652
0.333 0.667 0.278
0.667 0.333 0.722
0.000 0.000 0.500
```

Results
Fermi-level density of states = 0.00 states/eV/f.u.


Entry 18:
## Cs2U3NbO12 (PBE)

Data for Cs2U3NbO12 after structural relaxation.

Geometry as POSCAR:
```
Cs2U3NbO12
1.0
7.746 -0.078 -0.055
3.758 6.774 -0.055
3.758 2.187 6.412
Cs O U Nb
2 12 3 1
direct
0.373 0.373 0.373
0.627 0.627 0.627
0.681 0.063 0.681
0.063 0.681 0.681
0.940 0.940 0.303
0.060 0.697 0.060
0.319 0.937 0.319
0.319 0.319 0.937
0.303 0.940 0.940
0.697 0.060 0.060
0.937 0.319 0.319
0.940 0.303 0.940
0.060 0.060 0.697
0.681 0.681 0.063
0.000 0.500 0.000
0.500 0.000 0.000
0.000 0.000 0.500
0.000 0.000 0.000
```

Results
Fermi-level density of states = 7.93 states/eV/f.u.


What are the ΔE_f (raw) values for these records? In order: -2.32; -2.15; -2.42; -2.73; -2.61; -2.37; -1.70; -1.89; -2.70; -2.42; -2.38; -2.29; -2.19; -2.00; -2.17; -1.92; -2.58; -2.90 eV per atom.
What are the magnetic moment values for these records? In order: 0.143; 0.123; 0.094; 0.000; 0.000; 0.119; 0.198; 0.112; 0.000; 0.107; 0.092; 0.169; 0.101; 0.000; 0.000; 0.000; 0.000; 0.056 μB/atom.